(1)
MgCdIr2, relaxed, DFT PBE; E_form = -0.043 eV/atom
1.0
-1.232 4.466 1.270
-3.219 2.678 2.355
2.186 0.288 4.480
Cd Ir Mg
1 2 1
Cartesian
-0.566 1.858 2.026
2.113 0.324 4.407
-1.061 3.680 4.124
-1.699 5.574 6.078



(2)
Na8Tl3Pd, relaxed, DFT PBE; E_form = -0.083 eV/atom
1.0
-4.425 3.940 -9.218
-2.790 -5.432 5.074
-4.966 2.306 2.455
Na Tl Pd
8 3 1
Cartesian
-4.120 1.979 1.639
-5.802 -0.444 -1.631
-9.819 3.920 -4.807
-5.538 3.319 -1.787
-6.392 4.343 -5.159
-6.791 1.242 -4.435
-6.946 0.637 1.437
-5.314 -3.819 3.653
-8.466 1.699 -1.753
-3.643 -1.189 1.667
-3.487 2.638 -4.439
-5.885 4.544 -8.049



(3)
HoH2, relaxed, DFT PBE; total energy = -0.16446 hartree per atom
1.0
-3.362 0.617 -1.235
2.362 -1.875 -2.029
0.525 -2.309 2.757
H Ho
2 1
Cartesian
-0.697 -1.892 0.943
0.222 -1.675 -1.450
0.000 0.000 0.000



(4)
CaMg, relaxed, DFT PBE; E_form = -0.054 eV/atom
1.0
-3.141 1.108 -5.857
-4.261 -4.677 -2.316
1.544 4.324 4.930
Ca Mg
2 2
Cartesian
-3.318 -1.361 -2.261
-2.539 2.116 -0.982
-3.052 1.390 -4.355
-2.805 -0.635 1.113



(5)
PrEr9Tm2, relaxed, DFT PBE; E_form = 0.037 eV/atom
1.0
-2.548 0.432 2.347
-7.562 -2.545 -7.743
4.433 -8.024 6.291
Pr Er Tm
1 9 2
Cartesian
0.000 0.000 0.000
2.217 -4.012 3.145
-1.565 -5.285 -0.726
-3.781 -1.273 -3.871
-3.191 -2.135 -0.475
1.008 -6.826 4.948
-1.040 -3.118 2.041
-4.637 -7.020 -1.146
-6.686 -3.312 -4.053
-2.487 -8.002 1.370
0.435 -6.198 1.613
-3.564 -4.372 -3.065



(6)
AlZnW2, relaxed, DFT PBE; E_form = 0.284 eV/atom
1.0
-1.668 -0.952 1.914
3.241 -0.777 2.439
-0.419 5.157 2.200
Zn Al W
1 1 2
Cartesian
-0.213 2.628 1.121
0.476 2.955 3.805
-0.003 0.035 0.015
0.684 0.389 2.711



(7)
FeCuBr, relaxed, DFT PBE; uncorrected formation energy = 0.674 eV per atom
1.0
4.179 0.000 0.000
2.090 3.619 0.000
2.090 1.206 3.412
Br Cu Fe
1 1 1
Cartesian
0.000 0.000 0.000
4.179 2.413 1.706
6.269 3.619 2.559



(8)
In4Sn3Bi2, relaxed, DFT PBE; E_form = 0.059 eV/atom
1.0
5.661 -0.001 -0.002
2.830 3.602 0.525
0.005 -3.998 12.615
In Sn Bi
4 3 2
Cartesian
2.839 -2.900 11.471
5.660 -0.557 5.846
2.836 0.160 7.292
5.656 2.502 1.667
2.823 -1.250 4.315
0.000 0.000 0.000
5.673 0.853 8.823
5.672 -2.111 9.840
2.824 1.714 3.298



(9)
CoRe2SnSb, relaxed, DFT PBE; uncorrected formation energy = 1.293 eV per atom
1.0
-2.358 -2.745 2.851
2.503 -3.602 -1.397
3.064 0.834 3.338
Re Co Sn Sb
2 1 1 1
Cartesian
1.532 0.417 1.669
-1.179 -1.372 1.426
0.000 0.000 0.000
1.251 -1.801 -0.699
1.604 -2.756 2.396



(10)
Pu2WN3, relaxed, DFT PBE; uncorrected formation energy = -0.904 eV per atom
1.0
-2.602 -0.099 2.043
1.125 -4.373 1.222
3.569 3.995 2.059
Pu W N
2 1 3
Cartesian
-0.361 0.535 2.247
2.453 -1.011 3.077
0.563 -2.187 0.611
1.984 1.233 2.588
0.000 0.000 0.000
0.107 -1.710 2.735



(11)
CdCu2CSe, relaxed, DFT PBE; uncorrected formation energy = 1.288 eV per atom
1.0
4.740 0.000 0.000
0.000 3.976 0.000
0.000 0.000 4.740
C Cu Se Cd
1 2 1 1
Cartesian
0.000 1.988 0.000
0.000 0.000 2.370
2.370 0.000 0.000
0.000 0.000 0.000
2.370 1.988 2.370



(12)
ZnRuI2N, relaxed, DFT PBE; uncorrected formation energy = 1.231 eV per atom
1.0
-2.603 1.859 -4.774
-3.055 -4.861 -0.228
-2.684 1.589 2.082
I Ru Zn N
2 1 1 1
Cartesian
-1.528 -2.431 -0.114
-1.301 0.930 -2.387
-4.171 -0.707 -1.460
0.000 0.000 0.000
-1.342 0.794 1.041



(13)
Ba2Mg2Bi3, relaxed, DFT PBE; E_form = -0.686 eV/atom
1.0
-4.779 -0.637 1.260
-2.438 -8.558 -3.719
0.783 -6.339 9.616
Ba Mg Bi
4 4 6
Cartesian
-1.327 -3.444 3.079
-5.107 -12.090 4.079
-1.779 -8.467 8.676
-4.654 -7.067 -1.519
-0.225 -6.443 5.742
-6.209 -9.091 1.416
-2.730 -8.830 4.887
-3.704 -6.704 2.270
-2.071 -13.856 4.848
-4.363 -1.678 2.310
-1.798 -5.538 0.232
-4.635 -9.996 6.925
-3.353 -9.719 2.074
-3.080 -5.815 5.083



(14)
PrNdErSc, relaxed, DFT PBE; E_form = 0.095 eV/atom
1.0
-3.570 -1.279 0.422
1.713 -3.365 4.296
-3.740 5.319 1.850
Pr Nd Er Sc
1 1 1 1
Cartesian
-4.717 2.149 3.565
-2.278 0.453 1.263
-1.980 0.776 5.204
-3.255 -1.795 3.699



(15)
Cd2CuBi, relaxed, DFT PBE; E_form = 0.130 eV/atom
1.0
4.604 0.000 0.000
2.302 3.987 0.000
2.302 1.329 5.172
Cd Cu Bi
2 1 1
Cartesian
2.302 1.329 4.388
2.302 1.329 0.864
6.905 3.987 5.016
4.604 2.658 2.662



(16)
RbTiH2Cl, relaxed, DFT PBE; total energy = -0.09572 hartree per atom
1.0
-3.665 1.908 -1.221
-3.683 -2.799 6.682
1.148 3.567 2.127
H Cl Rb Ti
2 1 1 1
Cartesian
0.574 1.783 1.063
-1.832 0.954 -0.611
-3.100 1.338 3.794
0.000 0.000 0.000
-1.842 -1.399 3.341



(17)
AlAgSCl2, relaxed, DFT PBE; uncorrected formation energy = 0.134 eV per atom
1.0
-4.372 -2.045 1.006
-0.400 -1.454 -4.694
2.312 -4.373 1.158
S Al Ag Cl
1 1 1 2
Cartesian
1.156 -2.187 0.579
-1.230 -3.936 -1.265
0.000 0.000 0.000
-0.200 -0.727 -2.347
-2.186 -1.023 0.503



(18)
CaOsS2N, relaxed, DFT PBE; uncorrected formation energy = 1.777 eV per atom
1.0
-2.157 3.853 2.726
-1.742 -3.435 3.477
3.634 0.439 2.254
Ca Os S N
1 1 2 1
Cartesian
0.000 0.000 0.000
-0.132 0.429 4.229
-0.871 -1.717 1.739
-1.078 1.926 1.363
1.817 0.220 1.127



(19)
Pm4MgRh2, relaxed, DFT PBE; E_form = -0.384 eV/atom
1.0
-6.468 -2.170 -3.072
-0.328 -6.535 3.648
-1.467 8.435 3.894
Pm Mg Rh
8 2 4
Cartesian
-6.241 -0.462 -1.295
-3.011 -2.738 2.219
-6.973 0.324 2.632
-6.582 2.915 0.035
-3.389 0.941 1.275
-3.756 4.829 2.197
-4.236 1.947 5.045
-5.558 -3.974 -0.131
-1.772 0.006 3.946
-0.989 -1.096 0.184
-5.348 2.553 2.535
-4.741 -4.883 2.398
-3.729 -1.573 -0.286
-1.990 2.734 3.264



(20)
Pm2PrTmSb5, relaxed, DFT PBE; uncorrected formation energy = -0.325 eV per atom
1.0
-4.377 2.385 -1.573
0.198 -2.619 -4.519
-6.477 -8.734 4.778
Pm Pr Tm Sb
2 1 1 5
Cartesian
-3.847 -2.486 -1.750
-6.810 -6.482 0.435
0.000 0.000 0.000
-3.239 -4.367 2.389
-3.140 -5.676 0.129
-5.427 -3.175 1.602
-4.849 -6.538 3.576
-1.629 -2.196 1.201
-2.089 -0.117 -3.046